Entry 1:
Below is a relaxed structure of YZr2Ni, with properties calculated at the PBE level.

The space group is F-43m (No. 216) and the conventional cell measures 6.9926, 6.9926 and 6.9926 Å, with angles of 90.00, 90.00 and 90.00 degrees. The distinct sites, in fractional coordinates, are Y at (0.0000, 0.0000, 0.0000), Zr at (0.0000, 0.0000, 0.5000), Zr at (0.2500, 0.2500, 0.2500) and Ni at (0.2500, 0.2500, 0.7500).

As for the volume: 341.9 Å³/cell. The formation energy from the elements is 0.183 eV per atom. The value obtained for the energy relative to the lowest polymorph listed for this composition is 345 meV per atom.


Entry 2:
Below is a relaxed structure of K2AlFe, with properties calculated at the PBE level.

The space group is I4/mmm (No. 139) and the conventional cell measures 4.3887, 4.3887 and 11.5412 Å, with angles of 90.00, 90.00 and 90.00 degrees. The distinct sites, in fractional coordinates, are K at (0.0000, 0.5000, 0.2500), Al at (0.0000, 0.0000, 0.0000) and Fe at (0.0000, 0.0000, 0.5000).

As for the volume: 222.3 Å³/cell. The formation energy from the elements is 0.899 eV per atom.


Entry 3:
Below is a relaxed structure of Cr2CdAgHg, with properties calculated at the PBE level.

The space group is P4/mmm (No. 123) and the conventional cell measures 5.1053, 5.1053 and 5.1780 Å, with angles of 90.00, 90.00 and 90.00 degrees. The distinct sites, in fractional coordinates, are Cr at (0.0000, 0.5000, 0.0000), Cd at (0.0000, 0.0000, 0.5000), Ag at (0.5000, 0.5000, 0.0000) and Hg at (0.5000, 0.5000, 0.5000).

As for the volume: 135.0 Å³/cell. The formation energy from the elements is 1.049 eV per atom.


Entry 4:
Below is a relaxed structure of PIr2Os, with properties calculated at the PBE level.

The space group is R-3m (No. 166, hexagonal axes) and the conventional cell measures 2.7953, 2.7953 and 24.6924 Å, with angles of 90.00, 90.00 and 120.00 degrees. The distinct sites, in fractional coordinates, are P at (0.0000, 0.0000, 0.0000), Ir at (0.0000, 0.0000, 0.2584) and Os at (0.0000, 0.0000, 0.5000).

As for the volume: 167.1 Å³/cell. The formation energy from the elements is 0.021 eV per atom.


Entry 5:
Below is a relaxed structure of MnBeSb2, with properties calculated at the PBE level.

The space group is P4/mmm (No. 123) and the conventional cell measures 3.5366, 3.5366 and 6.0212 Å, with angles of 90.00, 90.00 and 90.00 degrees. The distinct sites, in fractional coordinates, are Mn at (0.0000, 0.0000, 0.0000), Be at (0.0000, 0.0000, 0.5000) and Sb at (0.5000, 0.5000, 0.2509).

For the uncorrected formation energy, the calculation gives 0.4650 eV/atom. As for the volume: 75.3 Å³/cell.


Entry 6:
Below is a relaxed structure of PuZnSb2, with properties calculated at the PBE level.

The space group is R-3m (No. 166, hexagonal axes) and the conventional cell measures 4.6800, 4.6800 and 24.5183 Å, with angles of 90.00, 90.00 and 120.00 degrees. The distinct sites, in fractional coordinates, are Pu at (0.0000, 0.0000, 0.0000), Zn at (0.0000, 0.0000, 0.5000) and Sb at (0.0000, 0.0000, 0.3966).

For the uncorrected formation energy, the calculation gives 0.0651 eV/atom. As for the volume: 465.1 Å³/cell. The value obtained for the energy relative to the lowest polymorph listed for this composition is 463 meV per atom.


Entry 7:
Below is a relaxed structure of La2BeAlPt6, with properties calculated at the PBE level.

The space group is R-3m (No. 166, hexagonal axes) and the conventional cell measures 5.8518, 5.8518 and 19.3551 Å, with angles of 90.00, 90.00 and 120.00 degrees. The distinct sites, in fractional coordinates, are La at (0.0000, 0.0000, 0.2199), Be at (0.0000, 0.0000, 0.0000), Al at (0.0000, 0.0000, 0.5000) and Pt at (0.0154, 0.5077, 0.2666).

As for the volume: 574.0 Å³/cell. The formation energy from the elements is -0.953 eV per atom.


Entry 8:
Below is a relaxed structure of Ca6Cd3Ga, with properties calculated at the PBE level.

The space group is P2_1/m (No. 11) and the conventional cell measures 9.4614, 5.5001 and 12.0486 Å, with angles of 90.00, 108.50 and 90.00 degrees. The distinct sites, in fractional coordinates, are Ca at (0.0155, 0.2500, 0.4085), Ca at (0.1467, 0.7500, 0.1652), Ca at (0.2683, 0.2500, 0.9984), Ca at (0.3544, 0.7500, 0.8287), Ca at (0.3591, 0.2500, 0.3254), Ca at (0.3956, 0.2500, 0.6288), Cd at (0.0386, 0.7500, 0.8780), Cd at (0.1141, 0.2500, 0.7178), Cd at (0.2723, 0.7500, 0.4686) and Ga at (0.4410, 0.7500, 0.1109).

As for the volume: 594.6 Å³/cell. The formation energy from the elements is -0.292 eV per atom.


Question: Number 4 is which compound?
Answer: PIr2Os


Please write out number 3 again, unchanged.
Below is a relaxed structure of Cr2CdAgHg, with properties calculated at the PBE level.

The space group is P4/mmm (No. 123) and the conventional cell measures 5.1053, 5.1053 and 5.1780 Å, with angles of 90.00, 90.00 and 90.00 degrees. The distinct sites, in fractional coordinates, are Cr at (0.0000, 0.5000, 0.0000), Cd at (0.0000, 0.0000, 0.5000), Ag at (0.5000, 0.5000, 0.0000) and Hg at (0.5000, 0.5000, 0.5000).

As for the volume: 135.0 Å³/cell. The formation energy from the elements is 1.049 eV per atom.